P) # Sb3POs

A relaxed Sb3POs crystal (PBE-GGA, Alexandria).

abc: 4.942 4.942 4.942
angles: 90.00 90.00 90.00
Space group Pm-3m (No. 221)
Symmetry-distinct sites (fractional):
Sb (0.000, 0.000, 0.500) [3 per cell]
P (0.000, 0.000, 0.000) [1 per cell]
Os (0.500, 0.500, 0.500) [1 per cell]

Computed properties:
- Spin magnetization: 0.0 μB/cell
- DOS at the Fermi energy: 1.026 states/eV/atom

***

Q) # Sb3POs

A relaxed Sb3POs crystal (PBE-GGA, Alexandria).

abc: 5.114 5.114 5.114
angles: 90.00 90.00 90.00
Space group Pm-3m (No. 221)
Symmetry-distinct sites (fractional):
Sb (0.000, 0.000, 0.500) [3 per cell]
P (0.500, 0.500, 0.500) [1 per cell]
Os (0.000, 0.000, 0.000) [1 per cell]

Computed properties:
- Spin magnetization: 0.0 μB/cell
- DOS at the Fermi energy: 1.019 states/eV/atom

***

Sorted by energy, starting with the most stable: Q), P).

***

P) # ScP2Os

A relaxed ScP2Os crystal (PBE-GGA, Alexandria).

abc: 8.674 3.092 4.680
angles: 90.00 104.44 90.00
Space group Cm (No. 8)
Symmetry-distinct sites (fractional):
Sc (0.000, 0.000, 0.000) [2 per cell]
P (0.007, 0.500, 0.494) [2 per cell]
P (0.247, 0.500, 0.196) [2 per cell]
Os (0.233, 0.000, 0.597) [2 per cell]

Computed properties:
- Spin magnetization: 0.0 μB/cell
- DOS at the Fermi energy: 0.482 states/eV/atom

***

Q) # ScP2Os

A relaxed ScP2Os crystal (PBE-GGA, Alexandria).

abc: 6.155 6.155 6.155
angles: 90.00 90.00 90.00
Space group Fm-3m (No. 225)
Symmetry-distinct sites (fractional):
Sc (0.000, 0.000, 0.000) [4 per cell]
P (0.250, 0.250, 0.250) [8 per cell]
Os (0.000, 0.000, 0.500) [4 per cell]

Computed properties:
- Spin magnetization: 3.9 μB/cell
- DOS at the Fermi energy: 0.858 states/eV/atom

***

R) # ScP2Os

A relaxed ScP2Os crystal (PBE-GGA, Alexandria).

abc: 3.608 3.608 9.249
angles: 90.00 90.00 90.00
Space group I-4m2 (No. 119)
Symmetry-distinct sites (fractional):
Sc (0.000, 0.000, 0.000) [2 per cell]
P (0.000, 0.000, 0.500) [2 per cell]
P (0.000, 0.500, 0.250) [2 per cell]
Os (0.000, 0.500, 0.750) [2 per cell]

Computed properties:
- Spin magnetization: 0.0 μB/cell
- DOS at the Fermi energy: 0.693 states/eV/atom

***

S) # ScP2Os

A relaxed ScP2Os crystal (PBE-GGA, Alexandria).

abc: 2.982 2.982 7.850
angles: 90.00 90.00 90.00
Space group P4mm (No. 99)
Symmetry-distinct sites (fractional):
Sc (0.000, 0.000, 0.000) [1 per cell]
P (0.000, 0.000, 0.413) [1 per cell]
P (0.500, 0.500, 0.777) [1 per cell]
Os (0.500, 0.500, 0.265) [1 per cell]

Computed properties:
- Spin magnetization: 0.0 μB/cell
- DOS at the Fermi energy: 0.645 states/eV/atom

***

Sorted by energy, starting with the most stable: P), Q), S), R).

***

P) # ScP2Os

A relaxed ScP2Os crystal (PBE-GGA, Alexandria).

abc: 4.308 3.230 8.658
angles: 90.00 90.00 90.00
Space group Amm2 (No. 38)
Symmetry-distinct sites (fractional):
Sc (0.000, 0.000, 0.000) [2 per cell]
P (0.000, 0.000, 0.276) [2 per cell]
P (0.500, 0.000, 0.457) [2 per cell]
Os (0.500, 0.000, 0.740) [2 per cell]

Computed properties:
- Spin magnetization: 0.0 μB/cell
- DOS at the Fermi energy: 0.402 states/eV/atom

***

Q) # ScP2Os

A relaxed ScP2Os crystal (PBE-GGA, Alexandria).

abc: 5.289 5.289 12.127
angles: 90.00 90.00 90.00
Space group I-42d (No. 122)
Symmetry-distinct sites (fractional):
Sc (0.000, 0.000, 0.000) [4 per cell]
P (0.194, 0.250, 0.625) [8 per cell]
Os (0.000, 0.000, 0.500) [4 per cell]

Computed properties:
- Spin magnetization: 0.0 μB/cell
- DOS at the Fermi energy: 0.380 states/eV/atom

***

R) # ScP2Os

A relaxed ScP2Os crystal (PBE-GGA, Alexandria).

abc: 6.515 3.747 5.680
angles: 90.00 112.22 90.00
Space group C2/m (No. 12)
Symmetry-distinct sites (fractional):
Sc (0.000, 0.000, 0.000) [2 per cell]
P (0.236, 0.000, 0.707) [4 per cell]
Os (0.000, 0.500, 0.500) [2 per cell]

Computed properties:
- Spin magnetization: 0.0 μB/cell
- DOS at the Fermi energy: 0.693 states/eV/atom

***

S) # ScP2Os

A relaxed ScP2Os crystal (PBE-GGA, Alexandria).

abc: 3.368 3.368 5.447
angles: 90.00 90.00 90.00
Space group P4mm (No. 99)
Symmetry-distinct sites (fractional):
Sc (0.000, 0.000, 0.000) [1 per cell]
P (0.000, 0.000, 0.504) [1 per cell]
P (0.500, 0.500, 0.822) [1 per cell]
Os (0.500, 0.500, 0.362) [1 per cell]

Computed properties:
- Spin magnetization: 0.0 μB/cell
- DOS at the Fermi energy: 0.778 states/eV/atom

***

Sorted by energy, starting with the most stable: R), P), S), Q).

***

P) # ScP2Os

A relaxed ScP2Os crystal (PBE-GGA, Alexandria).

abc: 4.385 4.385 3.035
angles: 90.00 90.00 90.00
Space group P4/mmm (No. 123)
Symmetry-distinct sites (fractional):
Sc (0.000, 0.000, 0.000) [1 per cell]
P (0.000, 0.500, 0.500) [2 per cell]
Os (0.500, 0.500, 0.000) [1 per cell]

Computed properties:
- Spin magnetization: 0.0 μB/cell
- DOS at the Fermi energy: 0.892 states/eV/atom

***

Q) # ScP2Os

A relaxed ScP2Os crystal (PBE-GGA, Alexandria).

abc: 3.0929 3.0929 23.0005
angles: 90.00 90.00 120.00
Space group R3m (No. 160, hexagonal axes)
Symmetry-distinct sites (fractional):
Sc (0.0000, 0.0000, 0.0000) [3 per cell]
P (0.0000, 0.0000, 0.5019) [3 per cell]
P (0.0000, 0.0000, 0.7540) [3 per cell]
Os (0.0000, 0.0000, 0.2366) [3 per cell]

Computed properties:
- Spin magnetization: 0.0 μB/cell
- DOS at the Fermi energy: 0.669 states/eV/atom

***

R) # ScP2Os

A relaxed ScP2Os crystal (PBE-GGA, Alexandria).

abc: 3.395 3.877 4.856
angles: 90.00 90.00 90.00
Space group Pmmm (No. 47)
Symmetry-distinct sites (fractional):
Sc (0.000, 0.000, 0.000) [1 per cell]
P (0.500, 0.500, 0.227) [2 per cell]
Os (0.500, 0.000, 0.500) [1 per cell]

Computed properties:
- Spin magnetization: 0.0 μB/cell
- DOS at the Fermi energy: 0.450 states/eV/atom

***

Sorted by energy, starting with the most stable: R), P), Q).

***

P) # Sc3POs

A relaxed Sc3POs crystal (PBE-GGA, Alexandria).

abc: 4.958 4.958 4.958
angles: 90.00 90.00 90.00
Space group Pm-3m (No. 221)
Symmetry-distinct sites (fractional):
Sc (0.000, 0.000, 0.500) [3 per cell]
P (0.500, 0.500, 0.500) [1 per cell]
Os (0.000, 0.000, 0.000) [1 per cell]

Computed properties:
- Spin magnetization: 0.0 μB/cell
- DOS at the Fermi energy: 1.527 states/eV/atom

***

Q) # Sc3POs

A relaxed Sc3POs crystal (PBE-GGA, Alexandria).

abc: 4.756 4.756 4.756
angles: 90.00 90.00 90.00
Space group Pm-3m (No. 221)
Symmetry-distinct sites (fractional):
Sc (0.000, 0.000, 0.500) [3 per cell]
P (0.000, 0.000, 0.000) [1 per cell]
Os (0.500, 0.500, 0.500) [1 per cell]

Computed properties:
- Spin magnetization: 0.0 μB/cell
- DOS at the Fermi energy: 0.727 states/eV/atom

***

Sorted by energy, starting with the most stable: Q), P).

***

P) # Si3POs

A relaxed Si3POs crystal (PBE-GGA, Alexandria).

abc: 4.346 4.346 4.346
angles: 90.00 90.00 90.00
Space group Pm-3m (No. 221)
Symmetry-distinct sites (fractional):
Si (0.000, 0.000, 0.500) [3 per cell]
P (0.000, 0.000, 0.000) [1 per cell]
Os (0.500, 0.500, 0.500) [1 per cell]

Computed properties:
- Spin magnetization: 0.6 μB/cell
- DOS at the Fermi energy: 1.153 states/eV/atom

***

Q) # Si3POs

A relaxed Si3POs crystal (PBE-GGA, Alexandria).

abc: 4.621 4.621 4.621
angles: 90.00 90.00 90.00
Space group Pm-3m (No. 221)
Symmetry-distinct sites (fractional):
Si (0.000, 0.000, 0.500) [3 per cell]
P (0.500, 0.500, 0.500) [1 per cell]
Os (0.000, 0.000, 0.000) [1 per cell]

Computed properties:
- Spin magnetization: 0.0 μB/cell
- DOS at the Fermi energy: 0.790 states/eV/atom

***

Sorted by energy, starting with the most stable: Q), P).

***

P) # SrP2Os

A relaxed SrP2Os crystal (PBE-GGA, Alexandria).

abc: 6.009 7.092 3.378
angles: 90.00 90.00 90.00
Space group Cmmm (No. 65)
Symmetry-distinct sites (fractional):
Sr (0.000, 0.000, 0.000) [2 per cell]
P (0.250, 0.250, 0.500) [4 per cell]
Os (0.000, 0.500, 0.000) [2 per cell]

Computed properties:
- Spin magnetization: 0.3 μB/cell
- DOS at the Fermi energy: 1.006 states/eV/atom

***

Q) # SrP2Os

A relaxed SrP2Os crystal (PBE-GGA, Alexandria).

abc: 3.9738 3.9738 17.6067
angles: 90.00 90.00 120.00
Space group R3m (No. 160, hexagonal axes)
Symmetry-distinct sites (fractional):
Sr (0.0000, 0.0000, 0.0000) [3 per cell]
P (0.0000, 0.0000, 0.5473) [3 per cell]
P (0.0000, 0.0000, 0.7862) [3 per cell]
Os (0.0000, 0.0000, 0.1860) [3 per cell]

Computed properties:
- Spin magnetization: 0.0 μB/cell
- DOS at the Fermi energy: 0.281 states/eV/atom

***

R) # SrP2Os

A relaxed SrP2Os crystal (PBE-GGA, Alexandria).

abc: 4.021 6.002 7.030
angles: 90.00 90.00 90.00
Space group Immm (No. 71)
Symmetry-distinct sites (fractional):
Sr (0.000, 0.000, 0.000) [2 per cell]
P (0.000, 0.500, 0.168) [4 per cell]
Os (0.000, 0.000, 0.500) [2 per cell]

Computed properties:
- Spin magnetization: 0.0 μB/cell
- DOS at the Fermi energy: 0.577 states/eV/atom

***

S) # SrP2Os

A relaxed SrP2Os crystal (PBE-GGA, Alexandria).

abc: 6.511 6.511 6.511
angles: 90.00 90.00 90.00
Space group Fm-3m (No. 225)
Symmetry-distinct sites (fractional):
Sr (0.000, 0.000, 0.000) [4 per cell]
P (0.250, 0.250, 0.250) [8 per cell]
Os (0.000, 0.000, 0.500) [4 per cell]

Computed properties:
- Spin magnetization: 0.0 μB/cell
- DOS at the Fermi energy: 0.113 states/eV/atom

***

Sorted by energy, starting with the most stable: Q), R), S), P).

***

P) # SrP2Os

A relaxed SrP2Os crystal (PBE-GGA, Alexandria).

abc: 3.957 3.957 9.380
angles: 90.00 90.00 90.00
Space group I-4m2 (No. 119)
Symmetry-distinct sites (fractional):
Sr (0.000, 0.000, 0.000) [2 per cell]
P (0.000, 0.000, 0.500) [2 per cell]
P (0.000, 0.500, 0.250) [2 per cell]
Os (0.000, 0.500, 0.750) [2 per cell]

Computed properties:
- Spin magnetization: 0.0 μB/cell
- DOS at the Fermi energy: 1.024 states/eV/atom

***

Q) # SrP2Os

A relaxed SrP2Os crystal (PBE-GGA, Alexandria).

abc: 3.249 3.543 13.400
angles: 90.00 90.00 90.00
Space group Imm2 (No. 44)
Symmetry-distinct sites (fractional):
Sr (0.000, 0.000, 0.000) [2 per cell]
P (0.000, 0.000, 0.633) [2 per cell]
P (0.000, 0.500, 0.314) [2 per cell]
Os (0.000, 0.500, 0.745) [2 per cell]

Computed properties:
- Spin magnetization: 0.0 μB/cell
- DOS at the Fermi energy: 0.520 states/eV/atom

***

R) # SrP2Os

A relaxed SrP2Os crystal (PBE-GGA, Alexandria).

abc: 3.363 4.053 5.821
angles: 90.00 90.00 90.00
Space group Pmmm (No. 47)
Symmetry-distinct sites (fractional):
Sr (0.000, 0.000, 0.000) [1 per cell]
P (0.500, 0.500, 0.297) [2 per cell]
Os (0.500, 0.000, 0.500) [1 per cell]

Computed properties:
- Spin magnetization: 0.0 μB/cell
- DOS at the Fermi energy: 0.592 states/eV/atom

***

S) # SrP2Os

A relaxed SrP2Os crystal (PBE-GGA, Alexandria).

abc: 3.216 3.216 6.959
angles: 90.00 90.00 90.00
Space group P4mm (No. 99)
Symmetry-distinct sites (fractional):
Sr (0.000, 0.000, 0.000) [1 per cell]
P (0.000, 0.000, 0.499) [1 per cell]
P (0.500, 0.500, 0.703) [1 per cell]
Os (0.500, 0.500, 0.356) [1 per cell]

Computed properties:
- Spin magnetization: 0.0 μB/cell
- DOS at the Fermi energy: 0.738 states/eV/atom

***

Sorted by energy, starting with the most stable: R), Q), S), P).